# LiHo2InO, relaxed, DFT PBE
# VASP energy = -5.179 eV/atom
# Space-group type = P4/mmm, No. 123
# Uncorrected formation energy = -1.43 eV/atom
data_LiHo2InO
_chemical_formula_sum 'Li1 Ho2 In1 O1'
_symmetry_space_group_name_H-M 'P 1'
_symmetry_Int_Tables_number 1
_cell_length_a 4.290
_cell_length_b 4.756
_cell_length_c 4.756
_cell_angle_alpha 90.00
_cell_angle_beta 90.00
_cell_angle_gamma 90.00
loop_
_symmetry_equiv_pos_as_xyz
'x,y,z'
loop_
_atom_site_label
_atom_site_fract_x
_atom_site_fract_y
_atom_site_fract_z
Ho1 0.000 0.500 0.000
Ho2 0.000 0.000 0.500
O1 0.000 0.000 0.000
In1 0.500 0.500 0.500
Li1 0.500 0.000 0.000